# 1
VASP calculation (PBE-GGA) on a geometry-optimized HoEr2Tl3 structure.

```
HoEr2Tl3
1.0
3.619 0.000 0.000
0.000 3.619 0.000
0.000 0.000 12.159
Er Ho Tl
2 1 3
direct
0.500 0.500 0.166
0.500 0.500 0.834
0.500 0.500 0.500
0.000 0.000 0.000
0.000 0.000 0.332
0.000 0.000 0.668
```

## Properties
volume: 159.3 Å³ per cell
crystal system: tetragonal
DFT total energy: -22.652 eV for the cell shown
SG: No. 123

***

# 2
VASP calculation (PBE-GGA) on a geometry-optimized Ho2ErTl3 structure.

```
Ho2ErTl3
1.0
-0.692 -2.488 -2.542
2.113 -2.371 1.745
-9.610 -3.858 6.393
Er Ho Tl
1 2 3
direct
0.000 0.000 0.500
0.000 0.000 0.167
0.000 0.000 0.833
0.500 0.500 0.000
0.500 0.500 0.334
0.500 0.500 0.666
```

## Properties
volume: 159.8 Å³ per cell
crystal system: tetragonal
DFT total energy: -22.699 eV for the cell shown
SG: No. 123

***

# 3
VASP calculation (PBE-GGA) on a geometry-optimized HoEr2TmTl2 structure.

```
HoEr2TmTl2
1.0
-0.128 1.956 -4.977
-2.415 -4.642 1.113
-5.610 3.261 1.427
Er Ho Tl Tm
2 1 2 1
direct
0.667 0.333 0.251
0.667 0.333 0.749
0.000 0.000 0.000
0.333 0.667 0.000
0.000 0.000 0.500
0.333 0.667 0.500
```

## Properties
volume: 164.6 Å³ per cell
crystal system: hexagonal
DFT total energy: -24.392 eV for the cell shown
SG: No. 187

***

# 4
VASP calculation (PBE-GGA) on a geometry-optimized HoEr2Tm5 structure.

```
HoEr2Tm5
1.0
-5.002 0.077 2.339
2.828 -2.248 6.123
2.312 4.716 4.790
Er Ho Tm
2 1 5
direct
0.500 0.334 0.334
0.000 0.667 0.667
0.500 0.834 0.834
0.000 0.166 0.166
0.000 0.667 0.167
0.500 0.833 0.333
0.000 0.167 0.667
0.500 0.333 0.833
```

## Properties
ΔE_f: 0.0 kcal/mol of atoms
volume: 241.7 Å³ per cell
crystal system: orthorhombic
DFT total energy: -36.076 eV for the cell shown
SG: No. 38

***

# 5
VASP calculation (PBE-GGA) on a geometry-optimized Ho2ErTm structure.

```
Ho2ErTm
1.0
-1.542 -2.120 -4.895
4.154 -5.689 1.155
-6.802 -0.049 2.165
Er Ho Tm
2 4 2
direct
0.750 0.666 0.333
0.250 0.333 0.666
0.250 0.834 0.167
0.250 0.333 0.167
0.750 0.167 0.333
0.750 0.167 0.834
0.250 0.833 0.667
0.750 0.667 0.833
```

## Properties
ΔE_f: 0.0 kcal/mol of atoms
volume: 245.0 Å³ per cell
crystal system: orthorhombic
DFT total energy: -36.368 eV for the cell shown
SG: No. 40

***

# 6
VASP calculation (PBE-GGA) on a geometry-optimized Ho2ErTm structure.

```
Ho2ErTm
1.0
5.553 0.000 0.000
0.000 3.569 6.182
0.000 -3.569 6.182
Er Ho Tm
2 4 2
direct
0.000 0.334 0.334
0.500 0.667 0.667
0.500 0.167 0.167
0.500 0.667 0.167
0.500 0.167 0.667
0.000 0.833 0.833
0.000 0.833 0.333
0.000 0.333 0.833
```

## Properties
ΔE_f: 0.0 kcal/mol of atoms
volume: 245.0 Å³ per cell
crystal system: orthorhombic
DFT total energy: -36.372 eV for the cell shown
SG: No. 38

***

# 7
VASP calculation (PBE-GGA) on a geometry-optimized Ho3Er2Tm3 structure.

```
Ho3Er2Tm3
1.0
5.542 0.000 0.000
0.000 3.565 6.174
0.000 -3.565 6.174
Er Ho Tm
2 3 3
direct
0.000 0.333 0.333
0.500 0.667 0.667
0.500 0.667 0.167
0.500 0.167 0.667
0.000 0.833 0.833
0.500 0.167 0.167
0.000 0.833 0.333
0.000 0.333 0.833
```

## Properties
ΔE_f: 0.0 kcal/mol of atoms
volume: 243.9 Å³ per cell
crystal system: orthorhombic
DFT total energy: -36.272 eV for the cell shown
SG: No. 38

***

# 8
VASP calculation (PBE-GGA) on a geometry-optimized Ho2ErTm structure.

```
Ho2ErTm
1.0
3.570 -6.183 0.000
3.570 6.183 0.000
0.000 0.000 5.555
Er Ho Tm
2 4 2
direct
0.167 0.833 0.250
0.833 0.167 0.750
0.167 0.334 0.250
0.666 0.833 0.250
0.334 0.167 0.750
0.833 0.666 0.750
0.667 0.333 0.250
0.333 0.667 0.750
```

## Properties
ΔE_f: 0.0 kcal/mol of atoms
volume: 245.2 Å³ per cell
crystal system: orthorhombic
DFT total energy: -36.376 eV for the cell shown
SG: No. 63

***

# 9
VASP calculation (PBE-GGA) on a geometry-optimized HoErTm structure.

```
HoErTm
1.0
-0.833 -3.036 4.314
-0.516 2.273 4.806
-4.756 0.059 2.429
Er Ho Tm
1 1 1
direct
0.250 0.250 0.250
0.750 0.750 0.750
0.000 0.000 0.000
```

## Properties
ΔE_f: 16.6 kcal/mol of atoms
ΔE to the lowest computed polymorph: 0 meV per atom
volume: 107.7 Å³ per cell
crystal system: cubic
DFT total energy: -11.453 eV for the cell shown
SG: No. 216

***

# 10
VASP calculation (PBE-GGA) on a geometry-optimized Ho3Er2Tm3 structure.

```
Ho3Er2Tm3
1.0
7.129 0.000 0.000
-3.564 6.174 0.000
0.000 0.000 5.542
Er Ho Tm
2 3 3
direct
0.333 0.667 0.000
0.000 0.000 0.500
0.500 0.000 0.500
0.000 0.500 0.500
0.500 0.500 0.500
0.334 0.167 0.000
0.833 0.167 0.000
0.833 0.666 0.000
```

## Properties
ΔE_f: 0.0 kcal/mol of atoms
volume: 243.9 Å³ per cell
crystal system: hexagonal
DFT total energy: -36.271 eV for the cell shown
SG: No. 187

***

# 11
VASP calculation (PBE-GGA) on a geometry-optimized Ho2ErTmZn2 structure.

```
Ho2ErTmZn2
1.0
5.144 0.000 0.000
0.000 1.788 8.081
0.000 -1.788 8.081
Er Ho Tm Zn
1 2 1 2
direct
0.000 0.080 0.080
0.500 0.221 0.221
0.000 0.779 0.779
0.500 0.920 0.920
0.000 0.429 0.429
0.500 0.570 0.570
```

## Properties
ΔE_f: -5.3 kcal/mol of atoms
volume: 148.6 Å³ per cell
crystal system: orthorhombic
DFT total energy: -22.094 eV for the cell shown
SG: No. 38

***

# 12
VASP calculation (PBE-GGA) on a geometry-optimized HoErW structure.

```
HoErW
1.0
0.000 3.453 3.453
3.453 0.000 3.453
3.453 3.453 0.000
Er Ho W
1 1 1
direct
0.250 0.250 0.250
0.000 0.000 0.000
0.750 0.750 0.750
```

## Properties
ΔE_f: 32.9 kcal/mol of atoms
volume: 82.3 Å³ per cell
crystal system: cubic
DFT total energy: -17.821 eV for the cell shown
SG: No. 216